Material: MnAl2S4
Method: DFT, PBE-GGA
State: relaxed

abc: 7.181 7.181 7.181
angles: 60.00 60.00 60.00
Fractional positions:
1 Mn 0.125 0.125 0.125
2 Mn 0.875 0.875 0.875
3 Al 0.000 0.500 0.500
4 Al 0.500 0.000 0.500
5 Al 0.500 0.500 0.000
6 Al 0.500 0.500 0.500
7 S 0.261 0.261 0.261
8 S 0.261 0.261 0.718
9 S 0.261 0.718 0.261
10 S 0.282 0.739 0.739
11 S 0.718 0.261 0.261
12 S 0.739 0.282 0.739
13 S 0.739 0.739 0.282
14 S 0.739 0.739 0.739

Output
E: -79.7 eV per cell
Formation energy from raw total energies: -0.95 eV per atom